DFT (GGA-PBE) results for a relaxed structure of Pr8C3Cl4O.

Lattice parameters (Å, degrees): 7.5704 8.4052 7.5710 116.76 120.00 90.00
Last column: nearest neighbours and their distance in Å.
Element x y z (fractional)
1 Pr 0.7695 0.3094 0.5389  2 C 2.58, 1 O 2.58
2 Cl 0.0000 0.0000 0.5000  6 Pr 3.10-3.12
3 Pr 0.2706 0.3095 0.0400  2 C 2.58, 1 O 2.58
4 Pr 0.2305 0.6906 0.4611  2 C 2.58, 1 O 2.58
5 Pr 0.7312 0.6937 0.4624  3 C 2.59
6 C 0.5000 0.5000 0.0000  6 Pr 2.58-2.59
7 Pr 0.2306 0.6905 0.9600  2 C 2.58, 1 O 2.58
8 Pr 0.2688 0.3063 0.5376  3 C 2.59
9 O 0.0000 0.5000 0.0000  6 Pr 2.58
10 C 0.0000 0.5000 0.5000  6 Pr 2.58-2.59
11 C 0.5000 0.5000 0.5000  6 Pr 2.58-2.59
12 Pr 0.7694 0.3095 0.0400  2 C 2.58, 1 O 2.58
13 Pr 0.7294 0.6905 0.9600  2 C 2.58, 1 O 2.58
14 Cl 0.0000 0.0000 0.0000  6 Pr 3.10-3.12
15 Cl 0.5000 0.0000 0.0000  6 Pr 3.11
16 Cl 0.5000 0.0000 0.5000  6 Pr 3.10-3.12

Properties
Formation energy from raw total energies ... -1288 meV/atom
DOS at the Fermi energy ... 5.8 states/eV per cell

=====

DFT (GGA-PBE) results for a relaxed structure of Pr8C3Cl3O.

Lattice parameters (Å, degrees): 7.6075 7.6200 8.2704 117.52 90.00 119.95
Last column: nearest neighbours and their distance in Å.
Element x y z (fractional)
1 Cl 0.0000 0.0000 0.0000  6 Pr 3.04-3.06
2 Pr 0.7332 0.4664 0.6990  3 C 2.60-2.61
3 Cl 0.0000 0.5000 0.0000  6 Pr 3.05-3.06
4 C 0.5000 0.0000 0.5000  6 Pr 2.59-2.61
5 Pr 0.2668 0.5336 0.3010  3 C 2.60-2.61
6 C 0.5000 0.5000 0.5000  6 Pr 2.59-2.60
7 Cl 0.5000 0.5000 0.0000  6 Pr 3.05-3.06
8 O 0.0000 0.0000 0.5000  6 Pr 2.63
9 Pr 0.7642 0.5284 0.3011  2 C 2.59, 1 O 2.63
10 Pr 0.2728 0.0367 0.3009  2 C 2.59, 1 O 2.63
11 C 0.0000 0.5000 0.5000  6 Pr 2.59-2.60
12 Pr 0.7639 0.0367 0.3009  2 C 2.59, 1 O 2.63
13 Pr 0.7272 0.9633 0.6991  2 C 2.59, 1 O 2.63
14 Pr 0.2358 0.4716 0.6989  2 C 2.59, 1 O 2.63
15 Pr 0.2361 0.9633 0.6991  2 C 2.59, 1 O 2.63

Properties
Formation energy from raw total energies ... -1115 meV/atom
DOS at the Fermi energy ... 6.2 states/eV per cell

=====

DFT (GGA-PBE) results for a relaxed structure of Pr4CCl2O.

Lattice parameters (Å, degrees): 3.7904 6.4863 7.4346 107.22 90.00 90.00
Last column: nearest neighbours and their distance in Å.
Element x y z (fractional)
1 Pr 0.5000 0.2310 0.1893  1 C 2.55, 2 O 2.56
2 O 0.0000 0.0000 0.0000  6 Pr 2.55-2.56
3 C 0.5000 0.5000 0.0000  6 Pr 2.55-2.57
4 Pr 0.0000 0.2674 0.8086  1 O 2.55, 2 C 2.57
5 Cl 0.0000 0.5000 0.5000  6 Pr 3.10
6 Cl 0.5000 0.0000 0.5000  6 Pr 3.08-3.10
7 Pr 0.0000 0.7326 0.1914  1 O 2.55, 2 C 2.57
8 Pr 0.5000 0.7690 0.8107  1 C 2.55, 2 O 2.56

Properties
Formation energy from raw total energies ... -1546 meV/atom
DOS at the Fermi energy ... 3.3 states/eV per cell

=====

DFT (GGA-PBE) results for a relaxed structure of PtC2Cl2O2.

Lattice parameters (Å, degrees): 13.6061 7.1707 7.4771 75.20 90.00 90.00
Last column: nearest neighbours and their distance in Å.
Element x y z (fractional)
1 C 0.3539 0.6745 0.1021  1 O 1.15
2 Cl 0.8606 0.3277 0.8940  1 Pt 2.32
3 Pt 0.7681 0.7707 0.1049  2 C 1.90
4 O 0.0959 0.1391 0.2295  1 C 1.15
5 C 0.1320 0.2789 0.7122  1 O 1.15
6 O 0.4274 0.8090 0.5997  1 C 1.15
7 Cl 0.6394 0.8277 0.8940  1 Pt 2.32
8 C 0.8680 0.7211 0.2878  1 O 1.15
9 Pt 0.7319 0.2707 0.1049  2 C 1.90
10 O 0.5726 0.1910 0.4003  1 C 1.15
11 C 0.3680 0.7789 0.7122  1 O 1.15
12 Cl 0.3606 0.1723 0.1060  1 Pt 2.32
13 O 0.5959 0.3609 0.7705  1 C 1.15
14 C 0.6320 0.2211 0.2878  1 O 1.15
15 Pt 0.2319 0.2293 0.8951  2 C 1.90
16 Cl 0.8442 0.2097 0.3453  1 Pt 2.31
17 C 0.6461 0.3255 0.8979  1 O 1.15
18 Cl 0.1394 0.6723 0.1060  1 Pt 2.32
19 O 0.4041 0.6391 0.2295  1 C 1.15
20 Cl 0.6558 0.7097 0.3453  1 Pt 2.31
21 O 0.9041 0.8609 0.7705  1 C 1.15
22 Cl 0.1558 0.7903 0.6547  1 Pt 2.31
23 C 0.8539 0.8255 0.8979  1 O 1.15
24 Pt 0.2681 0.7293 0.8951  2 C 1.90
25 C 0.1461 0.1745 0.1021  1 O 1.15
26 O 0.9274 0.6910 0.4003  1 C 1.15
27 Cl 0.3442 0.2903 0.6547  1 Pt 2.31
28 O 0.0726 0.3090 0.5997  1 C 1.15

Properties
Formation energy from raw total energies ... -630 meV/atom
DOS at the Fermi energy ... 0.0 states/eV per cell

=====

DFT (GGA-PBE) results for a relaxed structure of Sc6C2Cl3O.

Lattice parameters (Å, degrees): 5.8890 5.8890 6.5971 98.55 98.55 119.99
Last column: nearest neighbours and their distance in Å.
Element x y z (fractional)
1 C 0.3333 0.6667 0.0000  6 Sc 2.25
2 Sc 0.6034 0.9405 0.8213  2 C 2.25, 1 O 2.28
3 Sc 0.9405 0.6034 0.8213  2 C 2.25, 1 O 2.28
4 C 0.6667 0.3333 0.0000  6 Sc 2.25
5 Sc 0.7224 0.7224 0.1783  2 C 2.25, 1 O 2.28
6 Cl 0.5000 0.5000 0.5000  6 Sc 2.81-2.83
7 O 0.0000 0.0000 0.0000  6 Sc 2.28
8 Sc 0.0595 0.3966 0.1787  2 C 2.25, 1 O 2.28
9 Sc 0.2776 0.2776 0.8217  2 C 2.25, 1 O 2.28
10 Cl 0.1662 0.8338 0.5000  6 Sc 2.81-2.83
11 Sc 0.3966 0.0595 0.1787  2 C 2.25, 1 O 2.28
12 Cl 0.8338 0.1662 0.5000  6 Sc 2.81-2.83

Properties
Formation energy from raw total energies ... -1473 meV/atom
DOS at the Fermi energy ... 3.2 states/eV per cell

=====

DFT (GGA-PBE) results for a relaxed structure of Sm6C2Cl3O.

Lattice parameters (Å, degrees): 6.3950 6.3950 7.2879 98.42 98.42 120.01
Last column: nearest neighbours and their distance in Å.
Element x y z (fractional)
1 Cl 0.1706 0.8294 0.5000  6 Sm 3.01-3.07
2 Cl 0.5000 0.5000 0.5000  6 Sm 3.03-3.04
3 Sm 0.0629 0.3972 0.1887  2 C 2.50, 1 O 2.51
4 Sm 0.3972 0.0629 0.1887  2 C 2.50, 1 O 2.51
5 C 0.6663 0.3337 0.0000  6 Sm 2.50
6 Sm 0.9371 0.6028 0.8113  2 C 2.50, 1 O 2.51
7 Sm 0.6028 0.9371 0.8113  2 C 2.50, 1 O 2.51
8 Sm 0.2713 0.2713 0.8108  2 C 2.50, 1 O 2.51
9 Cl 0.8294 0.1706 0.5000  6 Sm 3.01-3.07
10 O 0.0000 0.0000 0.0000  6 Sm 2.51
11 Sm 0.7287 0.7287 0.1892  2 C 2.50, 1 O 2.51
12 C 0.3337 0.6663 0.0000  6 Sm 2.50

Properties
Formation energy from raw total energies ... -1421 meV/atom
DOS at the Fermi energy ... 2.1 states/eV per cell